The following is a PBE-GGA calculation of an optimized crystal structure of CoCu2Si, from Alexandria via LeMat-Bulk.

The structure belongs to space group I-42d (No. 122); the cell edges are 6.599, 6.599 and 4.661 Å and the angles 90.00°, 90.00° and 90.00°. Symmetry generates all atoms from Co at (0.000, 0.000, 0.000), Cu at (0.238, 0.250, 0.625) and Si at (0.000, 0.000, 0.500).

The calculation puts the formation energy (no corrections) at 1.02 eV/f.u. Its magnetic moment is 0.00 μB/cell. Its density of states at the Fermi level is 11.5 states/eV/cell.

=====

The following is a PBE-GGA calculation of an optimized crystal structure of Ce2PuIrN5, from Alexandria via LeMat-Bulk.

The structure belongs to space group Cmc2_1 (No. 36); the cell edges are 3.399, 13.342 and 10.636 Å and the angles 90.00°, 90.00° and 90.00°. Symmetry generates all atoms from Ce at (0.000, 0.101, 0.000), Ce at (0.000, 0.145, 0.612), Pu at (0.000, 0.206, 0.322), Ir at (0.000, 0.478, 0.762), N at (0.000, 0.050, 0.378), N at (0.000, 0.275, 0.967), N at (0.000, 0.328, 0.683), N at (0.000, 0.368, 0.306) and N at (0.000, 0.481, 0.083).

The calculation puts the formation energy (no corrections) at -8.12 eV/f.u. Its magnetic moment is 13.88 μB/cell. Its density of states at the Fermi level is 29.6 states/eV/cell.

=====

The following is a PBE-GGA calculation of an optimized crystal structure of Na2HgHPd, from Alexandria via LeMat-Bulk.

The structure belongs to space group P4/mmm (No. 123); the cell edges are 5.220, 5.220 and 3.430 Å and the angles 90.00°, 90.00° and 90.00°. Symmetry generates all atoms from Na at (0.000, 0.500, 0.000), Hg at (0.000, 0.000, 0.500), H at (0.500, 0.500, 0.000) and Pd at (0.500, 0.500, 0.500).

As for the uncorrected energy: -2.5150 eV per atom. Its magnetic moment is 0.00 μB/cell. Its density of states at the Fermi level is 1.3 states/eV/cell.

=====

The following is a PBE-GGA calculation of an optimized crystal structure of YTcN3, from Alexandria via LeMat-Bulk.

The structure belongs to space group P2_1/c (No. 14); the cell edges are 7.350, 6.524 and 6.657 Å and the angles 90.00°, 115.80° and 90.00°. Symmetry generates all atoms from Y at (0.095, 0.250, 0.071), Tc at (0.338, 0.613, 0.448), N at (0.041, 0.539, 0.247), N at (0.298, 0.717, 0.669) and N at (0.370, 0.178, 0.977).

The calculation puts the formation energy (no corrections) at -2.50 eV/f.u. Its magnetic moment is 0.00 μB/cell. Its density of states at the Fermi level is 0.0 states/eV/cell.

=====

The following is a PBE-GGA calculation of an optimized crystal structure of KPuTiCl6, from Alexandria via LeMat-Bulk.

The structure belongs to space group P-31c (No. 163); the cell edges are 6.7140, 6.7140 and 14.3233 Å and the angles 90.00°, 90.00° and 120.00°. Symmetry generates all atoms from K at (0.0000, 0.0000, 0.0000), Pu at (0.3333, 0.6667, 0.2500), Ti at (0.3333, 0.6667, 0.7500) and Cl at (0.0310, 0.3714, 0.6461).

The calculation puts the formation energy (no corrections) at -16.24 eV/f.u. Its magnetic moment is 14.00 μB/cell. Its density of states at the Fermi level is 25.8 states/eV/cell.

=====

The following is a PBE-GGA calculation of an optimized crystal structure of Sr2Be2P2N, from Alexandria via LeMat-Bulk.

The structure belongs to space group C2/m (No. 12); the cell edges are 11.264, 3.768 and 6.990 Å and the angles 90.00°, 124.12° and 90.00°. Symmetry generates all atoms from Sr at (0.047, 0.000, 0.293), Be at (0.162, 0.500, 0.071), P at (0.200, 0.500, 0.766) and N at (0.000, 0.500, 0.000).

The calculation puts the formation energy (no corrections) at -5.75 eV/f.u. Its magnetic moment is 0.00 μB/cell. Its density of states at the Fermi level is 7.2 states/eV/cell.

=====

The following is a PBE-GGA calculation of an optimized crystal structure of ScSnSeBr2, from Alexandria via LeMat-Bulk.

The structure belongs to space group P4/mmm (No. 123); the cell edges are 5.257, 5.257 and 5.266 Å and the angles 90.00°, 90.00° and 90.00°. Symmetry generates all atoms from Sc at (0.000, 0.000, 0.000), Sn at (0.500, 0.500, 0.500), Se at (0.000, 0.000, 0.500) and Br at (0.000, 0.500, 0.000).

The calculation puts the formation energy (no corrections) at -4.02 eV/f.u. Its magnetic moment is 0.00 μB/cell. Its density of states at the Fermi level is 3.6 states/eV/cell. The calculation puts the energy relative to the lowest polymorph listed for this composition at 0.00 eV/f.u.

=====

The following is a PBE-GGA calculation of an optimized crystal structure of NpOsRh2, from Alexandria via LeMat-Bulk.

The structure belongs to space group P4/mmm (No. 123); the cell edges are 3.967, 3.967 and 4.111 Å and the angles 90.00°, 90.00° and 90.00°. Symmetry generates all atoms from Np at (0.000, 0.000, 0.000), Os at (0.500, 0.500, 0.000) and Rh at (0.000, 0.500, 0.500).

Its magnetic moment is 1.22 μB/cell. Its density of states at the Fermi level is 6.7 states/eV/cell. The formation energy from the elements comes out at -83.7 kJ/mol of formula units.

=====

The following is a PBE-GGA calculation of an optimized crystal structure of CaIrCF2, from Alexandria via LeMat-Bulk.

The structure belongs to space group P4/mmm (No. 123); the cell edges are 4.009, 4.009 and 5.261 Å and the angles 90.00°, 90.00° and 90.00°. Symmetry generates all atoms from Ca at (0.000, 0.000, 0.000), Ir at (0.500, 0.500, 0.000), C at (0.000, 0.000, 0.500) and F at (0.000, 0.500, 0.500).

The calculation puts the formation energy (no corrections) at 3.90 eV/f.u. Its magnetic moment is 3.00 μB/cell. Its density of states at the Fermi level is 8.3 states/eV/cell.

=====

The following is a PBE-GGA calculation of an optimized crystal structure of TbHI2, from Alexandria via LeMat-Bulk.

The structure belongs to space group R3m (No. 160, hexagonal axes); the cell edges are 4.0170, 4.0170 and 24.8042 Å and the angles 90.00°, 90.00° and 120.00°. Symmetry generates all atoms from Tb at (0.0000, 0.0000, 0.0000), H at (0.0000, 0.0000, 0.6666), I at (0.0000, 0.0000, 0.2479) and I at (0.0000, 0.0000, 0.4188).

As for the uncorrected energy: -3.9725 eV per atom. Its magnetic moment is 0.00 μB/cell. Its density of states at the Fermi level is 0.0 states/eV/cell.

=====

The following is a PBE-GGA calculation of an optimized crystal structure of CaFe3Bi, from Alexandria via LeMat-Bulk.

The structure belongs to space group Pm-3m (No. 221); the cell edges are 4.953, 4.953 and 4.953 Å and the angles 90.00°, 90.00° and 90.00°. Symmetry generates all atoms from Ca at (0.000, 0.000, 0.000), Fe at (0.000, 0.500, 0.500) and Bi at (0.500, 0.500, 0.500).

Its magnetic moment is 7.15 μB/cell. Its density of states at the Fermi level is 9.0 states/eV/cell. The calculation puts the energy relative to the lowest polymorph listed for this composition at 0.00 eV/f.u. The formation energy from the elements comes out at 514.1 kJ/mol of formula units.

=====

The following is a PBE-GGA calculation of an optimized crystal structure of Ho2Be3GaIr4, from Alexandria via LeMat-Bulk.

The structure belongs to space group P-4m2 (No. 115); the cell edges are 4.079, 4.079 and 9.421 Å and the angles 90.00°, 90.00° and 90.00°. Symmetry generates all atoms from Ho at (0.000, 0.500, 0.232), Be at (0.000, 0.500, 0.889), Be at (0.500, 0.500, 0.500), Ga at (0.000, 0.000, 0.500), Ir at (0.000, 0.000, 0.000), Ir at (0.000, 0.500, 0.644) and Ir at (0.500, 0.500, 0.000).

Its magnetic moment is 0.00 μB/cell. Its density of states at the Fermi level is 2.7 states/eV/cell. The formation energy from the elements comes out at -654.6 kJ/mol of formula units.